No. 1
VASP calculation (PBE-GGA) on a geometry-optimized InTc2Ag structure.

Output
- Energy of formation: 0.532 eV/atom
- Magnetic moment: 0.00 Bohr magnetons per cell
- Calculated density: 10.065 g/cm3

Geometry as POSCAR:
```
InTc2Ag
1.0
2.9081 0.0000 0.0000
0.0000 4.4120 0.0000
0.0000 0.0000 5.3835
In Tc Ag
1 2 1
direct
0.0000 0.0000 0.0000
0.5000 0.5000 0.2201
0.5000 0.5000 0.7799
0.0000 0.0000 0.5000
```



No. 2
VASP calculation (PBE-GGA) on a geometry-optimized InTcAg2 structure.

Output
- Energy of formation: 0.341 eV/atom
- Magnetic moment: 0.00 Bohr magnetons per cell
- Calculated density: 9.951 g/cm3

Geometry as POSCAR:
```
InTcAg2
1.0
1.4742 0.8511 9.4992
-1.4742 0.8511 9.4992
0.0000 -1.7023 9.4992
In Tc Ag
1 1 2
direct
0.0000 0.0000 0.0000
0.7477 0.7477 0.7477
0.2456 0.2456 0.2456
0.4948 0.4948 0.4948
```



No. 3
VASP calculation (PBE-GGA) on a geometry-optimized InTc2Ag structure.

Output
- Energy of formation: 0.479 eV/atom
- Magnetic moment: 0.00 Bohr magnetons per cell
- Calculated density: 10.357 g/cm3

Geometry as POSCAR:
```
InTc2Ag
1.0
-1.6229 2.1922 4.7168
1.6229 -2.1922 4.7168
1.6229 2.1922 -4.7168
In Tc Ag
1 2 1
direct
0.0000 0.0000 0.0000
0.2472 0.7472 0.5000
0.7528 0.2528 0.5000
0.5000 0.5000 0.0000
```



No. 4
VASP calculation (PBE-GGA) on a geometry-optimized In2TcAg structure.

Output
- Energy of formation: 0.203 eV/atom
- Magnetic moment: 0.00 Bohr magnetons per cell
- Calculated density: 9.781 g/cm3

Geometry as POSCAR:
```
In2TcAg
1.0
4.6130 0.0000 0.0000
0.0000 4.6130 0.0000
0.0000 0.0000 3.4747
In Tc Ag
2 1 1
direct
0.0000 0.5000 0.0000
0.5000 0.0000 0.0000
0.0000 0.0000 0.5000
0.5000 0.5000 0.5000
```



No. 5
VASP calculation (PBE-GGA) on a geometry-optimized In2TcAg structure.

Output
- Energy of formation: 0.229 eV/atom
- Magnetic moment: 0.04 Bohr magnetons per cell
- Calculated density: 9.603 g/cm3

Geometry as POSCAR:
```
In2TcAg
1.0
3.4175 0.0000 0.0000
0.0000 3.4175 0.0000
0.0000 0.0000 6.4477
In Tc Ag
2 1 1
direct
0.0000 0.0000 0.2308
0.0000 0.0000 0.7692
0.5000 0.5000 0.0000
0.5000 0.5000 0.5000
```



No. 6
VASP calculation (PBE-GGA) on a geometry-optimized InTc2Ag structure.

Output
- Energy of formation: 0.515 eV/atom
- Magnetic moment: 0.75 Bohr magnetons per cell
- Calculated density: 10.364 g/cm3

Geometry as POSCAR:
```
InTc2Ag
1.0
3.8714 0.0000 0.0000
0.0000 3.8714 0.0000
0.0000 0.0000 4.4758
In Tc Ag
1 2 1
direct
0.0000 0.0000 0.0000
0.0000 0.5000 0.5000
0.5000 0.0000 0.5000
0.5000 0.5000 0.0000
```